A PBEsol-optimized structure of Sc3Zn, computed with SCAN.

Geometry as POSCAR:
```
Sc3Zn
1.0
-0.630 2.649 1.730
-2.079 -0.138 2.462
6.261 -1.330 7.324
Sc Zn
3 1
direct
0.242 0.242 0.274 Sc
0.000 0.000 0.000 Sc
0.758 0.758 0.726 Sc
0.500 0.500 0.500 Zn
```

Results
**Symmetry**: R-3m, No. 166
**VASP energy**: -14.13 eV per atom
**Energy relative to the elements**: -72 meV/atom